Record 1
The following is a PBE calculation of LaReIr2 after structural relaxation, from Alexandria via LeMat-Bulk.

Unit cell a=4.204 b=4.204 c=4.084 alpha=90.00 beta=90.00 gamma=90.00
Space group P4/mmm (No. 123)
Unique sites:
La1 0.000 0.000 0.000
Re1 0.500 0.500 0.000
Ir1 0.000 0.500 0.500

Calculated values
The value obtained for the calculated density is 16.3 Mg/m³. The value obtained for the energy above the most stable polymorph in this dataset is 371 meV per atom. Its crystal system is tetragonal. The total energy comes out at -8.5024 eV/atom. The value obtained for the total magnetization is 0.02 Bohr magnetons per cell. The density of states at the Fermi level comes out at 4.90 states/eV per cell. As for the formation energy: 26 kJ/mol of atoms.

Record 2
The following is a PBE calculation of LaReIr2 after structural relaxation, from Alexandria via LeMat-Bulk.

Unit cell a=2.935 b=2.935 c=8.266 alpha=90.00 beta=90.00 gamma=90.00
Space group P4/mmm (No. 123)
Unique sites:
La1 0.000 0.000 0.000
Re1 0.000 0.000 0.500
Ir1 0.500 0.500 0.292

Calculated values
The value obtained for the calculated density is 16.5 Mg/m³. The value obtained for the energy above the most stable polymorph in this dataset is 0 meV per atom. Its crystal system is tetragonal. The total energy comes out at -8.8732 eV/atom. The value obtained for the total magnetization is 0.00 Bohr magnetons per cell. The density of states at the Fermi level comes out at 4.72 states/eV per cell. As for the formation energy: -10 kJ/mol of atoms.

Record 3
The following is a PBE calculation of LaReIr2 after structural relaxation, from Alexandria via LeMat-Bulk.

Unit cell a=3.880 b=5.192 c=8.051 alpha=90.00 beta=90.00 gamma=90.00
Space group Immm (No. 71)
Unique sites:
La1 0.000 0.000 0.000
Re1 0.000 0.000 0.500
Ir1 0.000 0.500 0.199

Calculated values
The value obtained for the calculated density is 14.5 Mg/m³. The value obtained for the energy above the most stable polymorph in this dataset is 369 meV per atom. Its crystal system is orthorhombic. The total energy comes out at -8.5047 eV/atom. The value obtained for the total magnetization is 0.00 Bohr magnetons per cell. The density of states at the Fermi level comes out at 7.38 states/eV per cell. As for the formation energy: 26 kJ/mol of atoms.

Record 4
The following is a PBE calculation of LaRe2Ir after structural relaxation, from Alexandria via LeMat-Bulk.

Unit cell a=2.977 b=4.394 c=5.990 alpha=90.00 beta=100.78 gamma=90.00
Space group Pm (No. 6)
Unique sites:
La1 0.000 0.000 0.000
Re1 0.373 0.000 0.486
Re2 0.758 0.500 0.397
Ir1 0.417 0.500 0.773

Calculated values
The value obtained for the calculated density is 15.2 Mg/m³. The value obtained for the energy above the most stable polymorph in this dataset is 163 meV per atom. Its crystal system is monoclinic. The total energy comes out at -9.3807 eV/atom. The value obtained for the total magnetization is 0.00 Bohr magnetons per cell. The density of states at the Fermi level comes out at 4.46 states/eV per cell. As for the formation energy: 28 kJ/mol of atoms.

Record 5
The following is a PBE calculation of LaRe3Ir after structural relaxation, from Alexandria via LeMat-Bulk.

Unit cell a=4.695 b=4.695 c=4.695 alpha=90.00 beta=90.00 gamma=90.00
Space group Pm-3m (No. 221)
Unique sites:
La1 0.000 0.000 0.000
Re1 0.000 0.000 0.500
Ir1 0.500 0.500 0.500

Calculated values
The value obtained for the calculated density is 14.3 Mg/m³. The value obtained for the energy above the most stable polymorph in this dataset is 1844 meV per atom. Its crystal system is cubic. The total energy comes out at -7.0172 eV/atom. The value obtained for the total magnetization is 0.00 Bohr magnetons per cell. The density of states at the Fermi level comes out at 7.46 states/eV per cell. As for the formation energy: 310 kJ/mol of atoms.

Record 6
The following is a PBE calculation of LaRe2Ir after structural relaxation, from Alexandria via LeMat-Bulk.

Unit cell a=4.050 b=4.050 c=8.931 alpha=90.00 beta=90.00 gamma=90.00
Space group I4/mmm (No. 139)
Unique sites:
La1 0.000 0.000 0.000
Re1 0.000 0.500 0.250
Ir1 0.000 0.000 0.500

Calculated values
The value obtained for the calculated density is 15.9 Mg/m³. The value obtained for the energy above the most stable polymorph in this dataset is 566 meV per atom. Its crystal system is tetragonal. The total energy comes out at -8.9779 eV/atom. The value obtained for the total magnetization is 0.00 Bohr magnetons per cell. The density of states at the Fermi level comes out at 11.18 states/eV per cell. As for the formation energy: 67 kJ/mol of atoms.